1.
SrYZr2Tl: PBEsol geometry, SCAN.

CIF file:
```
data_SrYZr2Tl
_symmetry_space_group_name_H-M 'P 4/m m m'
_symmetry_Int_Tables_number 123
_symmetry_space_group_name_Hall '-P 4 2'
_cell_length_a 5.221
_cell_length_b 5.221
_cell_length_c 5.769
_cell_angle_alpha 90.00
_cell_angle_beta 90.00
_cell_angle_gamma 90.00
loop_
_atom_site_label
_atom_site_fract_x
_atom_site_fract_y
_atom_site_fract_z
_atom_site_occupancy
Sr1 0.000 0.000 0.000 1
Y1 0.000 0.000 0.500 1
Zr1 0.000 0.500 0.500 1
Tl1 0.500 0.500 0.000 1
```

***

2.
SrTlZn2: PBEsol geometry, SCAN.

CIF file:
```
data_SrTlZn2
_symmetry_space_group_name_H-M 'I m m 2'
_symmetry_Int_Tables_number 44
_cell_length_a 4.275
_cell_length_b 5.365
_cell_length_c 8.378
_cell_angle_alpha 90.00
_cell_angle_beta 90.00
_cell_angle_gamma 90.00
loop_
_symmetry_equiv_pos_as_xyz
'x,y,z'
'-x,-y,z'
'-x,y,z'
'x,-y,z'
'x+1/2,y+1/2,z+1/2'
'-x+1/2,-y+1/2,z+1/2'
'-x+1/2,y+1/2,z+1/2'
'x+1/2,-y+1/2,z+1/2'
loop_
_atom_site_label
_atom_site_fract_x
_atom_site_fract_y
_atom_site_fract_z
_atom_site_occupancy
Sr1 0.000 0.000 0.000 1
Tl1 0.000 0.500 0.207 1
Zn1 0.000 0.000 0.453 1
Zn2 0.000 0.500 0.783 1
```

***

3.
Sr2Tl2Zn: PBEsol geometry, SCAN.

CIF file:
```
data_Sr2Tl2Zn
_symmetry_space_group_name_H-M 'I 4/m m m'
_symmetry_Int_Tables_number 139
_symmetry_space_group_name_Hall '-I 4 2'
_cell_length_a 6.451
_cell_length_b 6.451
_cell_length_c 8.357
_cell_angle_alpha 90.00
_cell_angle_beta 90.00
_cell_angle_gamma 90.00
loop_
_atom_site_label
_atom_site_fract_x
_atom_site_fract_y
_atom_site_fract_z
_atom_site_occupancy
Sr1 0.000 0.500 0.250 1
Tl1 0.000 0.000 0.170 1
Zn1 0.000 0.000 0.500 1
```

***

4.
SrZrTl3: PBEsol geometry, SCAN.

CIF file:
```
data_SrZrTl3
_symmetry_space_group_name_H-M 'P m -3 m'
_symmetry_Int_Tables_number 221
_symmetry_space_group_name_Hall '-P 4 2 3'
_cell_length_a 5.644
_cell_length_b 5.644
_cell_length_c 5.644
_cell_angle_alpha 90.00
_cell_angle_beta 90.00
_cell_angle_gamma 90.00
loop_
_atom_site_label
_atom_site_fract_x
_atom_site_fract_y
_atom_site_fract_z
_atom_site_occupancy
Sr1 0.000 0.000 0.000 1
Zr1 0.500 0.500 0.500 1
Tl1 0.000 0.000 0.500 1
```

***

Formation energy
In order: 1169 -122 -131 1102
Unit: meV/atom